# PBE AlInAs, relaxed
# Energy above the most stable polymorph in this dataset (meV/atom): 40
# Uncorrected energy (eV/atom): -3.878
# ΔE_f (meV per atom): -168
# Crystal system: monoclinic
data_AlInAs
_chemical_formula_sum 'Al4 In4 As4'
_cell_length_a 6.8423
_cell_length_b 3.9568
_cell_length_c 11.6293
_cell_angle_alpha 90.00
_cell_angle_beta 102.21
_cell_angle_gamma 90.00
_symmetry_space_group_name_H-M 'C 1 m 1'
_symmetry_Int_Tables_number 8
_symmetry_space_group_name_Hall 'C -2y'
loop_
_atom_site_label
_atom_site_fract_x
_atom_site_fract_y
_atom_site_fract_z
_atom_site_occupancy
Al1 0.0000 0.0000 0.0000 1
Al2 0.2266 0.0000 0.6968 1
In1 0.0146 0.5000 0.5047 1
In2 0.2829 0.5000 0.3131 1
As1 0.1937 0.5000 0.0762 1
As2 0.4241 0.5000 0.7814 1